Below is crystalline Sm6Ag5Ir at its relaxed geometry, with properties calculated at the GGA-PBE level.

## Properties
- formation energy (eV per atom) = -0.368
- theoretical density (g/cm³) = 9.11

Cell: 8.200 8.200 7.401 Å, 90.00 90.00 143.22°
Fractional coordinates of all 12 atoms:
Sm 0.000 0.000 0.233
Sm 0.000 0.000 0.767
Sm 0.343 0.657 0.242
Sm 0.343 0.657 0.758
Sm 0.657 0.343 0.242
Sm 0.657 0.343 0.758
Ag 0.167 0.833 0.500
Ag 0.179 0.821 0.000
Ag 0.500 0.500 0.500
Ag 0.821 0.179 0.000
Ag 0.833 0.167 0.500
Ir 0.500 0.500 0.000



Below is crystalline MgCrIr at its relaxed geometry, with properties calculated at the GGA-PBE level.

## Properties
- energy relative to the lowest polymorph listed for this composition (meV/atom) = 317
- formation energy (eV per atom) = 0.215
- theoretical density (g/cm³) = 10.10

Cell: 7.054 6.839 2.694 Å, 83.36 74.35 22.29°
Fractional coordinates of all 3 atoms:
Mg 0.000 0.000 0.000
Cr 0.673 0.673 0.327
Ir 0.326 0.326 0.674



Below is crystalline Ac6InRh3 at its relaxed geometry, with properties calculated at the GGA-PBE level.

## Properties
- formation energy (eV per atom) = -0.544
- theoretical density (g/cm³) = 8.62

Cell: 12.709 4.344 13.077 Å, 90.00 107.64 90.00°
Fractional coordinates of all 20 atoms:
Ac 0.022 0.250 0.385
Ac 0.112 0.250 0.947
Ac 0.206 0.750 0.255
Ac 0.295 0.750 0.761
Ac 0.351 0.250 0.526
Ac 0.422 0.750 0.085
Ac 0.578 0.250 0.915
Ac 0.649 0.750 0.474
Ac 0.705 0.250 0.239
Ac 0.794 0.250 0.745
Ac 0.888 0.750 0.053
Ac 0.978 0.750 0.615
In 0.450 0.250 0.304
In 0.550 0.750 0.696
Rh 0.043 0.250 0.160
Rh 0.176 0.750 0.488
Rh 0.344 0.250 0.918
Rh 0.656 0.750 0.082
Rh 0.824 0.250 0.512
Rh 0.957 0.750 0.840



Below is crystalline AcAlRh at its relaxed geometry, with properties calculated at the GGA-PBE level.

## Properties
- energy relative to the lowest polymorph listed for this composition (meV/atom) = 35
- formation energy (eV per atom) = -0.704
- theoretical density (g/cm³) = 8.64

Cell: 7.469 7.469 4.261 Å, 90.00 90.00 120.00°
Fractional coordinates of all 9 atoms:
Ac 0.000 0.577 0.000
Ac 0.423 0.423 0.000
Ac 0.577 0.000 0.000
Al 0.000 0.220 0.500
Al 0.220 0.000 0.500
Al 0.780 0.780 0.500
Rh 0.000 0.000 0.000
Rh 0.333 0.667 0.500
Rh 0.667 0.333 0.500



Below is crystalline Tl2MoOs at its relaxed geometry, with properties calculated at the GGA-PBE level.

## Properties
- energy relative to the lowest polymorph listed for this composition (meV/atom) = 567
- formation energy (eV per atom) = 0.984
- theoretical density (g/cm³) = 15.33

Cell: 4.928 4.928 5.291 Å, 100.75 100.75 36.70°
Fractional coordinates of all 4 atoms:
Tl 0.248 0.248 0.246
Tl 0.752 0.752 0.754
Mo 0.000 0.000 0.500
Os 0.500 0.500 0.000



Below is crystalline RbNp2O7 at its relaxed geometry, with properties calculated at the GGA-PBE level.

## Properties
- E_form (uncorrected) (meV/atom) = -2510
- theoretical density (g/cm³) = 6.64

Cell: 7.067 7.067 4.184 Å, 90.00 90.00 126.52°
Fractional coordinates of all 10 atoms:
Rb 0.000 0.000 0.000
Np 0.334 0.666 0.500
Np 0.666 0.334 0.500
O 0.052 0.358 0.500
O 0.331 0.669 0.000
O 0.358 0.052 0.500
O 0.500 0.500 0.500
O 0.642 0.948 0.500
O 0.669 0.331 0.000
O 0.948 0.642 0.500